## K3Si (PBE-GGA)

Data for K3Si after structural relaxation.

a b c (Å): 4.8726 5.5494 7.2078
angles (deg): 90.00 109.42 90.00
Last column: nearest neighbours and their distance in Å.
Fractional coordinates of all 4 atoms:
1 K 0.0000 0.0000 0.0000  2 Si 3.62
2 K 0.3120 0.5000 0.6966  2 Si 3.38, 1 K 3.40
3 K 0.6880 0.5000 0.3034  2 Si 3.38, 1 K 3.40
4 Si 0.5000 0.0000 0.5000  6 K 3.38-3.62

Output
total energy: -1.794 eV/atom
total moment: 0.37 μB/cell